# 1
# PBE AlFe2CuH, optimized geometry
data_AlFe2CuH
_chemical_formula_sum 'Al1 Fe2 Cu1 H1'
_cell_length_a 3.576
_cell_length_b 3.576
_cell_length_c 3.994
_cell_angle_alpha 90.00
_cell_angle_beta 90.00
_cell_angle_gamma 90.00
_symmetry_space_group_name_H-M 'P 4/m m m'
_symmetry_Int_Tables_number 123
_symmetry_space_group_name_Hall '-P 4 2'
loop_
_atom_site_label
_atom_site_fract_x
_atom_site_fract_y
_atom_site_fract_z
Al1 0.000 0.000 0.000
Fe1 0.000 0.500 0.500
Cu1 0.500 0.500 0.000
H1 0.000 0.000 0.500
# ΔE to the lowest computed polymorph	31	kJ/mol of formula units
# D(E_F)	3.3	states/eV/f.u.
# crystal system	tetragonal

***

# 2
# PBE TlZnGa, optimized geometry
data_TlZnGa
_chemical_formula_sum 'Tl2 Zn2 Ga2'
_cell_length_a 4.133
_cell_length_b 4.163
_cell_length_c 7.760
_cell_angle_alpha 89.95
_cell_angle_beta 89.97
_cell_angle_gamma 89.06
_symmetry_space_group_name_H-M 'P 1'
_symmetry_Int_Tables_number 1
loop_
_symmetry_equiv_pos_as_xyz
'x,y,z'
loop_
_atom_site_label
_atom_site_fract_x
_atom_site_fract_y
_atom_site_fract_z
Tl1 0.000 0.000 0.000
Tl2 0.499 0.498 0.728
Zn1 0.001 0.499 0.358
Zn2 0.501 0.501 0.138
Ga1 0.499 0.000 0.355
Ga2 0.999 0.998 0.582
# calculated formation energy	0.07	eV per atom
# D(E_F)	1.3	states/eV/f.u.
# crystal system	triclinic

***

# 3
# PBE HfZn2ReF, optimized geometry
data_HfZn2ReF
_chemical_formula_sum 'Hf1 Zn2 Re1 F1'
_cell_length_a 5.197
_cell_length_b 5.197
_cell_length_c 3.917
_cell_angle_alpha 90.00
_cell_angle_beta 90.00
_cell_angle_gamma 90.00
_symmetry_space_group_name_H-M 'P 4/m m m'
_symmetry_Int_Tables_number 123
_symmetry_space_group_name_Hall '-P 4 2'
loop_
_atom_site_label
_atom_site_fract_x
_atom_site_fract_y
_atom_site_fract_z
Hf1 0.000 0.000 0.000
Zn1 0.000 0.500 0.000
Re1 0.500 0.500 0.500
F1 0.000 0.000 0.500
# D(E_F)	4.7	states/eV/f.u.
# formation energy from raw total energies	0.61	eV/atom
# crystal system	tetragonal

***

# 4
# PBE GaPSe3, optimized geometry
data_GaPSe3
_chemical_formula_sum 'Ga1 P1 Se3'
_cell_length_a 4.908
_cell_length_b 4.908
_cell_length_c 4.908
_cell_angle_alpha 90.00
_cell_angle_beta 90.00
_cell_angle_gamma 90.00
_symmetry_space_group_name_H-M 'P m -3 m'
_symmetry_Int_Tables_number 221
_symmetry_space_group_name_Hall '-P 4 2 3'
loop_
_atom_site_label
_atom_site_fract_x
_atom_site_fract_y
_atom_site_fract_z
Ga1 0.000 0.000 0.000
P1 0.500 0.500 0.500
Se1 0.000 0.500 0.500
# ΔE to the lowest computed polymorph	240	kJ/mol of formula units
# D(E_F)	6.7	states/eV/f.u.
# formation energy from raw total energies	0.29	eV/atom
# crystal system	cubic

***

# 5
# PBE CaMnSe, optimized geometry
data_CaMnSe
_chemical_formula_sum 'Ca6 Mn6 Se6'
_cell_length_a 4.0268
_cell_length_b 4.0268
_cell_length_c 27.5036
_cell_angle_alpha 90.00
_cell_angle_beta 90.00
_cell_angle_gamma 120.00
_symmetry_space_group_name_H-M 'R 3 m'
_symmetry_Int_Tables_number 160
_symmetry_space_group_name_Hall 'R 3 -2"'
loop_
_atom_site_label
_atom_site_fract_x
_atom_site_fract_y
_atom_site_fract_z
Ca1 0.0000 0.0000 0.0000
Ca2 0.0000 0.0000 0.1336
Mn1 0.0000 0.0000 0.2515
Mn2 0.0000 0.0000 0.5737
Se1 0.0000 0.0000 0.4032
Se2 0.0000 0.0000 0.8691
# ΔE to the lowest computed polymorph	0	kJ/mol of formula units
# D(E_F)	2.0	states/eV/f.u.
# formation energy from raw total energies	-0.77	eV/atom
# crystal system	trigonal

***

# 6
# PBE Ca5Zn4Cd, optimized geometry
data_Ca5Zn4Cd
_chemical_formula_sum 'Ca5 Zn4 Cd1'
_cell_length_a 3.675
_cell_length_b 3.675
_cell_length_c 18.905
_cell_angle_alpha 90.00
_cell_angle_beta 90.00
_cell_angle_gamma 90.00
_symmetry_space_group_name_H-M 'P 4/m m m'
_symmetry_Int_Tables_number 123
_symmetry_space_group_name_Hall '-P 4 2'
loop_
_atom_site_label
_atom_site_fract_x
_atom_site_fract_y
_atom_site_fract_z
Ca1 0.000 0.000 0.000
Ca2 0.000 0.000 0.196
Ca3 0.000 0.000 0.391
Zn1 0.500 0.500 0.098
Zn2 0.500 0.500 0.294
Cd1 0.500 0.500 0.500
# calculated formation energy	-0.26	eV per atom
# D(E_F)	8.0	states/eV/f.u.
# crystal system	tetragonal

***

Q: Which M_tot values were calculated for the entries above? A: 4.26, 0.00, 3.25, 0.00, 0.67, 0.00, in μB per cell.